Li2NdCu9: optimized geometry, PBE.

The structure belongs to space group P4/mbm (No. 127); the cell edges are 8.3550, 8.3550 and 4.9480 Å and the angles 90.00°, 90.00° and 90.00°. The asymmetric unit holds Li at (0.1130, 0.3870, 0.0000), Nd at (0.0000, 0.0000, 0.0000), Cu at (0.0000, 0.5000, 0.5000), Cu at (0.0625, 0.2112, 0.5000) and Cu at (0.1804, 0.6804, 0.2440).

For the magnetic moment, the calculation gives 0.00 Bohr magnetons per cell. The crystal system is tetragonal. As for the uncorrected energy: -3.903 eV per atom. The calculation puts the formation energy at -11 kJ/mol of atoms.